The following is a DFT calculation (GGA-PBE) of crystalline Na2InBr4 at its relaxed geometry.

Cell: 7.2551 7.2551 10.7495 Å, 90.00 90.00 90.00°
Closest atoms and distances in Å follow each position.
Space group I-42m (No. 121)
Inequivalent atoms, fractional coordinates:
Na 0.0000 0.5000 0.2500  4 Br 2.89
In 0.0000 0.0000 0.0000  4 Br 2.80
Br 0.2384 0.2384 0.1263  1 In 2.80, 2 Na 2.89

Results
Crystal system = tetragonal
Relative energy among the computed polymorphs = 0 meV/atom
Calculated total energy = -2.8116 eV/atom
Fermi-level density of states = 7.35 states/eV/cell

---

The following is a DFT calculation (GGA-PBE) of crystalline Na5InBr8 at its relaxed geometry.

Cell: 10.4339 10.4339 8.6690 Å, 90.00 90.00 90.00°
Closest atoms and distances in Å follow each position.
Space group I-4 (No. 82)
Inequivalent atoms, fractional coordinates:
Na 0.0000 0.0000 0.0000  4 Br 2.82
Na 0.2112 0.2659 0.8677  4 Br 2.87-3.07
In 0.0000 0.5000 0.2500  4 Br 2.58
Br 0.0315 0.7213 0.3759  1 In 2.58
Br 0.0660 0.7540 0.8894  4 Na 2.82-2.99

Results
Crystal system = tetragonal
Relative energy among the computed polymorphs = 0 meV/atom
Calculated total energy = -2.9180 eV/atom
Fermi-level density of states = 0.00 states/eV/cell

---

The following is a DFT calculation (GGA-PBE) of crystalline Na2InBr4 at its relaxed geometry.

Cell: 5.6524 5.6524 15.5092 Å, 90.00 90.00 90.00°
Closest atoms and distances in Å follow each position.
Space group I4/mmm (No. 139)
Inequivalent atoms, fractional coordinates:
Na 0.0000 0.0000 0.1362  1 Br 2.78
In 0.0000 0.0000 0.5000  6 Br 2.83-2.86
Br 0.0000 0.0000 0.3157  1 Na 2.78, 1 In 2.86
Br 0.0000 0.5000 0.0000  2 In 2.83

Results
Crystal system = tetragonal
Relative energy among the computed polymorphs = 35 meV/atom
Calculated total energy = -2.7765 eV/atom
Fermi-level density of states = 4.28 states/eV/cell

---

The following is a DFT calculation (GGA-PBE) of crystalline Na2In2Br7 at its relaxed geometry.

Cell: 7.3460 14.6582 8.4448 Å, 90.00 102.80 90.00°
Closest atoms and distances in Å follow each position.
Space group P2_1/c (No. 14)
Inequivalent atoms, fractional coordinates:
Na 0.1836 0.1785 0.3373  5 Br 2.91-3.03
In 0.3267 0.6082 0.6817  4 Br 2.60-2.71
Br 0.0498 0.7025 0.5016  1 In 2.64
Br 0.1810 0.5180 0.8880  1 In 2.60
Br 0.4406 0.2307 0.6565  1 In 2.64
Br 0.5000 0.0000 0.0000  2 In 2.71

Results
Crystal system = monoclinic
Relative energy among the computed polymorphs = 0 meV/atom
Calculated total energy = -2.8010 eV/atom
Fermi-level density of states = 10.01 states/eV/cell

---

The following is a DFT calculation (GGA-PBE) of crystalline Na3In2Br5 at its relaxed geometry.

Cell: 15.7836 4.4149 11.3160 Å, 90.00 125.69 90.00°
Closest atoms and distances in Å follow each position.
Space group C2/m (No. 12)
Inequivalent atoms, fractional coordinates:
Na 0.0000 0.0000 0.0000  6 Br 3.01-3.07
Na 0.1146 0.5000 0.3771  5 Br 2.85-3.05
In 0.1722 0.0000 0.7702  7 Br 3.33-3.50
Br 0.0000 0.5000 0.5000  2 Na 2.85
Br 0.0911 0.5000 0.9162  3 Na 3.00-3.07, 1 In 3.33
Br 0.1944 0.0000 0.3071  4 Na 2.87-3.05

Results
Crystal system = monoclinic
Calculated total energy = -2.9467 eV/atom
Fermi-level density of states = 0.00 states/eV/cell

---

The following is a DFT calculation (GGA-PBE) of crystalline Na3InBr4 at its relaxed geometry.

Cell: 10.4347 8.9876 6.2741 Å, 90.00 90.00 90.00°
Closest atoms and distances in Å follow each position.
Space group Pmn2_1 (No. 31)
Inequivalent atoms, fractional coordinates:
Na 0.0000 0.1752 0.0000  5 Br 2.87-3.14
Na 0.2482 0.6655 0.9994  5 Br 2.89-3.15
In 0.0000 0.8363 0.5004  5 Br 3.14-3.22
Br 0.0000 0.1946 0.5004  4 Na 2.91-3.14, 1 In 3.22
Br 0.0000 0.8400 0.0004  3 Na 3.01-3.03, 2 In 3.14
Br 0.2339 0.3441 0.0002  4 Na 2.87-3.15, 1 In 3.22

Results
Crystal system = orthorhombic
Relative energy among the computed polymorphs = 32 meV/atom
Calculated total energy = -2.9574 eV/atom
Fermi-level density of states = 0.00 states/eV/cell

---

The following is a DFT calculation (GGA-PBE) of crystalline Na5InBr6 at its relaxed geometry.

Cell: 7.5676 13.0970 7.5453 Å, 90.00 109.70 90.00°
Closest atoms and distances in Å follow each position.
Space group C2/m (No. 12)
Inequivalent atoms, fractional coordinates:
Na 0.0000 0.0000 0.0000  6 Br 2.92-3.11
Na 0.0000 0.1681 0.5000  6 Br 3.05-3.10
Na 0.0000 0.3366 0.0000  6 Br 2.96-3.13
In 0.0000 0.5000 0.5000  6 Br 3.23-3.26
Br 0.2368 0.0000 0.7641  5 Na 2.92-3.10, 1 In 3.26
Br 0.2367 0.1763 0.2428  5 Na 2.96-3.13, 1 In 3.23

Results
Crystal system = monoclinic
Calculated total energy = -3.0092 eV/atom
Fermi-level density of states = 0.00 states/eV/cell

---

The following is a DFT calculation (GGA-PBE) of crystalline Na2InBr5 at its relaxed geometry.

Cell: 12.2875 12.6311 8.7226 Å, 90.00 90.00 90.00°
Closest atoms and distances in Å follow each position.
Space group Pnnm (No. 58)
Inequivalent atoms, fractional coordinates:
Na 0.0000 0.0000 0.2202  2 Br 2.80
Na 0.1250 0.3432 0.0000  4 Br 2.71-3.00
In 0.2503 0.2423 0.5000  4 Br 2.55-2.57
Br 0.0634 0.1528 0.5000  1 In 2.56
Br 0.0970 0.1304 0.0000  3 Na 2.71-2.80
Br 0.1101 0.5913 0.0000  1 In 2.57
Br 0.2241 0.8619 0.2333  1 In 2.55

Results
Crystal system = orthorhombic
Relative energy among the computed polymorphs = 7 meV/atom
Calculated total energy = -2.8618 eV/atom
Fermi-level density of states = 0.00 states/eV/cell

---

> The highest calculated total energy belongs to which entry?

number 3

---

> The highest calculated total energy belongs to which entry?

number 3

---

> Look up the calculated total energy of the second one.

-2.9180 eV/atom